The following is a DFT calculation (PBE) of a relaxed structure of HfSiSe. Values from VASP.

Computed properties:
space group = No. 129
VASP energy = -7.2859 eV per atom
E_form (uncorrected) = -1.00 eV per atom
calculated volume = 110.7 Å³/cell
magnetic moment = 0.0000 μB/atom

Quantum ESPRESSO input file:
```
&SYSTEM
  ibrav = 0, nat = 6, ntyp = 3
/
ATOMIC_SPECIES
Hf 178.49 Hf.upf
Si 28.09 Si.upf
Se 78.96 Se.upf
CELL_PARAMETERS angstrom
3.591 0.000 0.000
0.000 3.591 0.000
0.000 0.000 8.585
ATOMIC_POSITIONS angstrom
Hf 0.898 0.898 2.126
Hf 2.693 2.693 6.459
Si 0.898 2.693 0.000
Si 2.693 0.898 0.000
Se 0.898 0.898 5.394
Se 2.693 2.693 3.191
```